18
Lattice="-1.7895 5.4824 -1.7166 -1.8663 -0.8970 -7.1858 -7.3510 -0.0071 1.3738" Properties=species:S:1:pos:R:3 comment="PmV2O6 | Alexandria | PBE with a Hubbard U | relaxed" density_g_cm3=3.59 relative_energy_mev_per_atom=31 volume_a3_per_cell=317.2 spacegroup="C2/c, No. 15" total_magnetization_mub_per_cell=2.0 dos_ef_per_ev_cell=7.79 pbc="T T T"
O -4.9329 1.0688 -0.3678
O -6.0739 3.5096 -7.1609
O -2.1200 1.9026 -0.7751
O -8.6963 0.0488 -4.7961
O -6.0624 -0.3648 -3.8605
O -4.9443 4.9432 -3.6681
O -6.9697 2.3785 -4.6992
O -2.3105 4.5295 -2.7325
O -3.2093 3.3851 -5.3124
O -8.8868 2.6758 -6.7536
O -4.0370 2.1999 -2.8294
O -7.7975 1.1932 -2.2162
V -3.5775 1.1409 -1.4368
V -7.4293 3.4375 -6.0919
V -7.4128 0.8388 -3.8629
V -3.5939 3.7396 -3.6658
Pm -3.8415 3.3175 -7.4853
Pm -7.1653 1.2608 -0.0433